Here is an optimized crystal structure of CuOs2Ru from Alexandria. Energies are from PBEsol.

Cell: 4.236 4.236 4.236 Å, 60.00 60.00 60.00°
Fractional coordinates of all 4 atoms:
Cu: 0.000 0.000 0.000
Os: 0.250 0.250 0.250
Os: 0.750 0.750 0.750
Ru: 0.500 0.500 0.500

Its formation energy is 63.0 kJ per mole of atoms. The volume comes out at 13.44 A^3/atom. Its crystal system is cubic. The total magnetization comes out at 0.00 μB/f.u. Its space-group type is Fm-3m.

Here is an optimized crystal structure of AlP2 from Alexandria. Energies are from PBEsol.

Cell: 5.124 5.124 5.124 Å, 42.07 42.07 42.07°
Fractional coordinates of all 3 atoms:
Al: 0.000 0.000 0.000
P: 0.425 0.425 0.425
P: 0.575 0.575 0.575

Its formation energy is -19.1 kJ per mole of atoms. The volume comes out at 18.21 A^3/atom. Its crystal system is trigonal. The total magnetization comes out at 0.00 μB/f.u. Its space-group type is R-3m.

Here is an optimized crystal structure of In2Si2Sn from Alexandria. Energies are from PBEsol.

Cell: 6.863 6.863 6.863 Å, 143.59 143.59 52.45°
Fractional coordinates of all 5 atoms:
In: 0.250 0.750 0.500
In: 0.750 0.250 0.500
Si: 0.096 0.096 0.000
Si: 0.904 0.904 0.000
Sn: 0.500 0.500 0.000

The volume comes out at 22.65 A^3/atom. Its crystal system is tetragonal. The total magnetization comes out at 0.00 μB/f.u. The calculation puts the total DFT energy (no corrections) at -4.003 eV/atom. Its space-group type is I4/mmm.

Here is an optimized crystal structure of MnOsPt2 from Alexandria. Energies are from PBEsol.

Cell: 2.720 3.877 5.357 Å, 90.00 90.00 90.00°
Fractional coordinates of all 4 atoms:
Mn: 0.000 0.000 0.000
Os: 0.000 0.000 0.500
Pt: 0.500 0.500 0.252
Pt: 0.500 0.500 0.748

Its formation energy is -0.5 kJ per mole of atoms. The volume comes out at 14.12 A^3/atom. Its crystal system is orthorhombic. The total magnetization comes out at 3.36 μB/f.u. Its space-group type is Pmmm.

Here is an optimized crystal structure of Fe2NiAu from Alexandria. Energies are from PBEsol.

Cell: 8.601 8.601 8.601 Å, 17.68 17.68 17.68°
Fractional coordinates of all 4 atoms:
Fe: 0.243 0.243 0.243
Fe: 0.757 0.757 0.757
Ni: 0.500 0.500 0.500
Au: 0.000 0.000 0.000

Its formation energy is 21.7 kJ per mole of atoms. The volume comes out at 12.81 A^3/atom. Its crystal system is trigonal. The total magnetization comes out at 6.08 μB/f.u. Its space-group type is R-3m.

Here is an optimized crystal structure of SrCa2Cl from Alexandria. Energies are from PBEsol.

Cell: 3.869 3.869 10.799 Å, 90.00 90.00 118.54°
Fractional coordinates of all 4 atoms:
Sr: 0.000 0.000 0.000
Ca: 0.500 0.500 0.300
Ca: 0.500 0.500 0.700
Cl: 0.000 0.000 0.500

The volume comes out at 35.51 A^3/atom. Its crystal system is orthorhombic. The total magnetization comes out at 0.00 μB/f.u. The calculation puts the total DFT energy (no corrections) at -2.778 eV/atom. Its space-group type is Cmmm.

Here is an optimized crystal structure of CeB2Ru2 from Alexandria. Energies are from PBEsol.

Cell: 6.634 5.919 5.487 Å, 71.01 57.54 51.45°
Fractional coordinates of all 10 atoms:
Ce: 0.125 0.125 0.125
Ce: 0.875 0.875 0.875
B: 0.191 0.559 0.191
B: 0.441 0.809 0.441
B: 0.559 0.191 0.559
B: 0.809 0.441 0.809
Ru: 0.237 0.237 0.513
Ru: 0.487 0.487 0.763
Ru: 0.513 0.513 0.237
Ru: 0.763 0.763 0.487

Its formation energy is -48.1 kJ per mole of atoms. The volume comes out at 14.22 A^3/atom. Its crystal system is orthorhombic. The total magnetization comes out at 0.16 μB/f.u. Its space-group type is Fddd.

Here is an optimized crystal structure of CaSiSe from Alexandria. Energies are from PBEsol.

Cell: 5.634 5.634 5.634 Å, 139.76 139.76 58.22°
Fractional coordinates of all 3 atoms:
Ca: 0.000 0.000 0.000
Si: 0.346 0.346 0.000
Se: 0.589 0.589 0.000

The volume comes out at 24.66 A^3/atom. Its crystal system is tetragonal. The total magnetization comes out at 0.00 μB/f.u. The calculation puts the total DFT energy (no corrections) at -4.452 eV/atom. Its space-group type is I4mm.

Here is an optimized crystal structure of Ca2SiPd from Alexandria. Energies are from PBEsol.

Cell: 6.270 6.270 6.270 Å, 103.05 103.05 123.26°
Fractional coordinates of all 8 atoms:
Ca: 0.105 0.125 0.480
Ca: 0.375 0.895 0.020
Ca: 0.645 0.625 0.520
Ca: 0.875 0.355 0.980
Si: 0.250 0.750 0.500
Si: 0.500 0.500 0.000
Pd: 0.000 0.000 0.000
Pd: 0.750 0.250 0.500

The volume comes out at 22.67 A^3/atom. Its crystal system is tetragonal. The total magnetization comes out at 0.00 μB/f.u. The calculation puts the total DFT energy (no corrections) at -4.095 eV/atom. Its space-group type is I-42d.

Here is an optimized crystal structure of Sm2Ga3Fe14C2 from Alexandria. Energies are from PBEsol.

Cell: 6.409 6.409 6.404 Å, 96.34 96.34 83.14°
Fractional coordinates of all 21 atoms:
Sm: 0.150 0.150 0.333
Sm: 0.850 0.850 0.667
Ga: 0.000 0.500 0.000
Ga: 0.500 0.000 0.000
Ga: 0.500 0.500 0.500
Fe: 0.152 0.650 0.344
Fe: 0.156 0.156 0.846
Fe: 0.214 0.786 0.000
Fe: 0.216 0.500 0.715
Fe: 0.350 0.848 0.656
Fe: 0.408 0.408 0.095
Fe: 0.500 0.216 0.715
Fe: 0.500 0.784 0.285
Fe: 0.592 0.592 0.905
Fe: 0.650 0.152 0.344
Fe: 0.784 0.500 0.285
Fe: 0.786 0.214 0.000
Fe: 0.844 0.844 0.154
Fe: 0.848 0.350 0.656
C: 0.000 0.500 0.500
C: 0.500 0.000 0.500

Its formation energy is -13.9 kJ per mole of atoms. The volume comes out at 12.30 A^3/atom. Its crystal system is monoclinic. The total magnetization comes out at 23.66 μB/f.u. Its space-group type is C2/m.

Here is an optimized crystal structure of LiReRh2 from Alexandria. Energies are from PBEsol.

Cell: 2.792 2.792 6.607 Å, 90.00 90.00 90.00°
Fractional coordinates of all 4 atoms:
Li: 0.000 0.000 0.000
Re: 0.000 0.000 0.500
Rh: 0.500 0.500 0.235
Rh: 0.500 0.500 0.765

Its formation energy is -10.8 kJ per mole of atoms. The volume comes out at 12.88 A^3/atom. Its crystal system is tetragonal. The total magnetization comes out at 0.00 μB/f.u. Its space-group type is P4/mmm.

Here is an optimized crystal structure of ScZnH2Pt from Alexandria. Energies are from PBEsol.

Cell: 3.548 3.548 5.537 Å, 90.00 90.00 90.00°
Fractional coordinates of all 5 atoms:
Sc: 0.000 0.000 0.000
Zn: 0.000 0.000 0.500
H: 0.000 0.500 0.000
H: 0.500 0.000 0.000
Pt: 0.500 0.500 0.500

The volume comes out at 13.94 A^3/atom. Its crystal system is tetragonal. The total magnetization comes out at 0.00 μB/f.u. The calculation puts the total DFT energy (no corrections) at -4.258 eV/atom. Its space-group type is P4/mmm.